Entry 1:
A geometry-optimized SrPuGa6 structure. Source: Alexandria, functional GGA-PBE.

DOS(E_F)	15.1	states/eV/f.u.
total magnetization	0.69	μB per atom
formation energy from the elements	-0.31	eV/atom

abc: 4.4679 6.2607 6.1758
angles: 90.00 90.00 90.00
Positions (direct):
Sr 0.0000 0.0000 0.0000
Pu 0.5000 0.5000 0.2237
Ga 0.0000 0.2736 0.4724
Ga 0.0000 0.5000 0.8794
Ga 0.0000 0.7264 0.4724
Ga 0.5000 0.0000 0.3927
Ga 0.5000 0.2741 0.7427
Ga 0.5000 0.7259 0.7427



Entry 2:
A geometry-optimized RbVCo2Br8 structure. Source: Alexandria, functional GGA-PBE.

DOS(E_F)	12.3	states/eV/f.u.
total DFT energy (no corrections)	-3.8183	eV/atom
total magnetization	0.66	μB per atom

abc: 6.5641 6.5641 10.0156
angles: 95.08 95.08 68.53
Positions (direct):
Rb 0.0000 0.0000 0.0000
V 0.0000 0.0000 0.5000
Co 0.3802 0.3802 0.6963
Co 0.6198 0.6198 0.3037
Br 0.2241 0.7385 0.3121
Br 0.2324 0.2324 0.4986
Br 0.2615 0.7759 0.6879
Br 0.3133 0.3133 0.9098
Br 0.6867 0.6867 0.0902
Br 0.7385 0.2241 0.3121
Br 0.7676 0.7676 0.5014
Br 0.7759 0.2615 0.6879



Entry 3:
A geometry-optimized La12Tb6Th structure. Source: Alexandria, functional GGA-PBE.

DOS(E_F)	36.2	states/eV/f.u.
total magnetization	0.00	μB per atom
formation energy from the elements	0.03	eV/atom

abc: 9.7384 9.7384 9.7384
angles: 110.99 110.99 110.99
Positions (direct):
La 0.0586 0.3739 0.5818
La 0.1017 0.7411 0.1552
La 0.1552 0.1017 0.7411
La 0.2589 0.8448 0.8983
La 0.3739 0.5818 0.0586
La 0.4182 0.9414 0.6261
La 0.5818 0.0586 0.3739
La 0.6261 0.4182 0.9414
La 0.7411 0.1552 0.1017
La 0.8448 0.8983 0.2589
La 0.8983 0.2589 0.8448
La 0.9414 0.6261 0.4182
Tb 0.2122 0.4665 0.3142
Tb 0.3142 0.2122 0.4665
Tb 0.4665 0.3142 0.2122
Tb 0.5335 0.6858 0.7878
Tb 0.6858 0.7878 0.5335
Tb 0.7878 0.5335 0.6858
Th 0.0000 0.0000 0.0000



Entry 4:
A geometry-optimized Dy2SiGe3Ir4 structure. Source: Alexandria, functional GGA-PBE.

DOS(E_F)	4.4	states/eV/f.u.
total DFT energy (no corrections)	-7.2106	eV/atom
total magnetization	0.00	μB per atom

abc: 4.2012 4.2012 10.0881
angles: 90.00 90.00 90.00
Positions (direct):
Dy 0.0000 0.5000 0.2444
Dy 0.5000 0.0000 0.7556
Si 0.5000 0.5000 0.0000
Ge 0.0000 0.0000 0.0000
Ge 0.0000 0.5000 0.6343
Ge 0.5000 0.0000 0.3657
Ir 0.0000 0.0000 0.5000
Ir 0.0000 0.5000 0.8748
Ir 0.5000 0.0000 0.1252
Ir 0.5000 0.5000 0.5000



Entry 5:
A geometry-optimized K2SrMn2 structure. Source: Alexandria, functional GGA-PBE.

DOS(E_F)	6.3	states/eV/f.u.
total magnetization	1.68	μB per atom
formation energy from the elements	0.86	eV/atom

abc: 8.7344 8.7344 5.2425
angles: 90.00 90.00 90.00
Positions (direct):
K 0.1751 0.3249 0.0000
K 0.3249 0.8249 0.0000
K 0.6751 0.1751 0.0000
K 0.8249 0.6751 0.0000
Sr 0.0000 0.0000 0.5000
Sr 0.5000 0.5000 0.5000
Mn 0.1078 0.6078 0.5000
Mn 0.3922 0.1078 0.5000
Mn 0.6078 0.8922 0.5000
Mn 0.8922 0.3922 0.5000



Entry 6:
A geometry-optimized CrRe2Ru structure. Source: Alexandria, functional GGA-PBE.

DOS(E_F)	3.9	states/eV/f.u.
total magnetization	0.00	μB per atom
formation energy from the elements	0.10	eV/atom

abc: 4.6710 4.6710 4.6975
angles: 99.80 99.80 33.87
Positions (direct):
Cr 0.0000 0.0000 0.0000
Re 0.2521 0.2521 0.7524
Re 0.4958 0.4958 0.4887
Ru 0.7455 0.7455 0.2373



Entry 7:
A geometry-optimized LaCo2P structure. Source: Alexandria, functional GGA-PBE.

DOS(E_F)	4.2	states/eV/f.u.
total magnetization	0.00	μB per atom
formation energy from the elements	-0.18	eV/atom

abc: 6.3054 6.3054 6.3054
angles: 150.55 147.53 44.40
Positions (direct):
La 0.0000 0.0000 0.0000
Co 0.3617 0.3617 0.0000
Co 0.7096 0.2096 0.5000
P 0.2348 0.7348 0.5000



Entry 8:
A geometry-optimized AsRh structure. Source: Alexandria, functional GGA-PBE.

DOS(E_F)	1.1	states/eV/f.u.
total magnetization	0.00	μB per atom
formation energy from the elements	-0.12	eV/atom

abc: 7.9676 7.9676 7.9676
angles: 23.25 23.25 23.25
Positions (direct):
As 0.1148 0.1148 0.1148
As 0.8852 0.8852 0.8852
Rh 0.3828 0.3828 0.3828
Rh 0.6172 0.6172 0.6172